[1]
! VFe | Alexandria via LeMat-Bulk | PBE | relaxed; values from VASP
! Space-group type ... P6_3/mmc
! Formation energy ... 0.154 eV per atom
! Calculated volume ... 12.52 Å³/atom
&SYSTEM
  ibrav = 0, nat = 12, ntyp = 2
/
ATOMIC_SPECIES
V 50.94 V.upf
Fe 55.84 Fe.upf
CELL_PARAMETERS angstrom
7.860 0.000 0.000
-3.930 6.807 0.000
0.000 0.000 2.809
ATOMIC_POSITIONS crystal
V 0.838 0.676 0.250
V 0.162 0.838 0.750
V 0.324 0.162 0.250
V 0.162 0.324 0.750
V 0.838 0.162 0.250
V 0.676 0.838 0.750
Fe 0.433 0.865 0.250
Fe 0.567 0.433 0.750
Fe 0.135 0.567 0.250
Fe 0.567 0.135 0.750
Fe 0.433 0.567 0.250
Fe 0.865 0.433 0.750


[2]
! Nd8Tl2Ir | Alexandria via LeMat-Bulk | PBE | relaxed; values from VASP
! Energy above the most stable polymorph in this dataset ... 0.000 eV per atom
! Space-group type ... C2/m
! Formation energy ... -0.266 eV per atom
! Calculated volume ... 31.17 Å³/atom
&SYSTEM
  ibrav = 0, nat = 11, ntyp = 3
/
ATOMIC_SPECIES
Nd 144.24 Nd.upf
Tl 204.38 Tl.upf
Ir 192.22 Ir.upf
CELL_PARAMETERS angstrom
-0.027 5.124 -1.118
-3.955 1.206 5.624
9.333 -1.882 3.453
ATOMIC_POSITIONS crystal
Nd 0.411 0.556 0.823
Nd 0.648 0.982 0.295
Nd 0.789 0.685 0.578
Nd 0.983 0.213 0.966
Nd 0.211 0.315 0.422
Nd 0.352 0.018 0.705
Nd 0.589 0.444 0.177
Nd 0.017 0.787 0.034
Tl 0.821 0.258 0.641
Tl 0.179 0.742 0.359
Ir 0.500 0.000 0.000


[3]
! CsAg6S4 | Alexandria via LeMat-Bulk | PBE | relaxed; values from VASP
! Space-group type ... P-6m2
! Formation energy (no corrections) ... -0.0544 eV/atom
! Calculated volume ... 20.82 Å³/atom
&SYSTEM
  ibrav = 0, nat = 11, ntyp = 3
/
ATOMIC_SPECIES
Cs 132.91 Cs.upf
Ag 107.87 Ag.upf
S 32.06 S.upf
CELL_PARAMETERS angstrom
4.128 0.000 0.000
0.000 8.004 0.000
0.000 -4.002 6.931
ATOMIC_POSITIONS crystal
Cs 0.000 0.000 0.000
Ag 0.000 0.545 0.090
Ag 0.500 0.592 0.796
Ag 0.000 0.545 0.455
Ag 0.000 0.910 0.455
Ag 0.500 0.204 0.796
Ag 0.500 0.204 0.408
S 0.500 0.813 0.626
S 0.500 0.374 0.187
S 0.500 0.813 0.187
S 0.000 0.333 0.667


[4]
! Th2Te2Br | Alexandria via LeMat-Bulk | PBE | relaxed; values from VASP
! Space-group type ... I4/mmm
! Formation energy (no corrections) ... -1.2511 eV/atom
! Calculated volume ... 33.65 Å³/atom
&SYSTEM
  ibrav = 0, nat = 5, ntyp = 3
/
ATOMIC_SPECIES
Th 232.04 Th.upf
Te 127.60 Te.upf
Br 79.90 Br.upf
CELL_PARAMETERS angstrom
-4.366 0.499 -0.171
0.089 -0.701 -4.341
1.110 -8.430 3.611
ATOMIC_POSITIONS crystal
Th 0.829 0.829 0.657
Th 0.171 0.171 0.343
Te 0.642 0.642 0.284
Te 0.358 0.358 0.716
Br 0.000 0.000 0.000


[5]
! Pm6CuTc2Br3 | Alexandria via LeMat-Bulk | PBE | relaxed; values from VASP
! Space-group type ... C2/m
! Formation energy (no corrections) ... -0.5807 eV/atom
! Calculated volume ... 27.92 Å³/atom
&SYSTEM
  ibrav = 0, nat = 12, ntyp = 4
/
ATOMIC_SPECIES
Pm 145.00 Pm.upf
Cu 63.55 Cu.upf
Tc 98.00 Tc.upf
Br 79.90 Br.upf
CELL_PARAMETERS angstrom
-3.544 5.730 1.777
-0.575 -5.912 3.643
7.543 2.386 2.884
ATOMIC_POSITIONS crystal
Pm 0.931 0.594 0.784
Pm 0.703 0.703 0.184
Pm 0.069 0.406 0.216
Pm 0.594 0.931 0.784
Pm 0.297 0.297 0.816
Pm 0.406 0.069 0.216
Cu 0.000 0.000 0.000
Tc 0.318 0.682 0.000
Tc 0.682 0.318 0.000
Br 0.169 0.831 0.500
Br 0.831 0.169 0.500
Br 0.500 0.500 0.500


[6]
! SrErAlCd | Alexandria via LeMat-Bulk | PBE | relaxed; values from VASP
! Space-group type ... F-43m
! Formation energy ... -0.210 eV per atom
! Calculated volume ... 27.71 Å³/atom
&SYSTEM
  ibrav = 0, nat = 4, ntyp = 4
/
ATOMIC_SPECIES
Sr 87.62 Sr.upf
Cd 112.41 Cd.upf
Al 26.98 Al.upf
Er 167.26 Er.upf
CELL_PARAMETERS angstrom
-1.859 1.986 4.655
0.595 -2.814 4.561
3.453 1.691 3.780
ATOMIC_POSITIONS crystal
Sr 0.750 0.750 0.750
Cd 0.000 0.000 0.000
Al 0.500 0.500 0.500
Er 0.250 0.250 0.250


[7]
! ZnMoRh2 | Alexandria via LeMat-Bulk | PBE | relaxed; values from VASP
! Space-group type ... I-42d
! Formation energy ... 0.334 eV per atom
! Calculated volume ... 16.15 Å³/atom
&SYSTEM
  ibrav = 0, nat = 8, ntyp = 3
/
ATOMIC_SPECIES
Mo 95.94 Mo.upf
Rh 102.91 Rh.upf
Zn 65.41 Zn.upf
CELL_PARAMETERS angstrom
6.857 0.000 0.000
0.000 6.857 0.000
3.429 3.429 2.748
ATOMIC_POSITIONS crystal
Mo 0.000 0.000 0.000
Mo 0.750 0.250 0.500
Rh 0.639 0.125 0.250
Rh 0.111 0.625 0.250
Rh 0.375 0.361 0.750
Rh 0.875 0.889 0.750
Zn 0.500 0.500 0.000
Zn 0.250 0.750 0.500


[8]
! SrGaHgAu | Alexandria via LeMat-Bulk | PBE | relaxed; values from VASP
! Space-group type ... F-43m
! Formation energy ... -0.397 eV per atom
! Calculated volume ... 24.68 Å³/atom
&SYSTEM
  ibrav = 0, nat = 4, ntyp = 4
/
ATOMIC_SPECIES
Sr 87.62 Sr.upf
Au 196.97 Au.upf
Hg 200.59 Hg.upf
Ga 69.72 Ga.upf
CELL_PARAMETERS angstrom
-1.207 -0.896 -4.965
-4.850 -1.305 -1.295
-2.986 3.359 -2.591
ATOMIC_POSITIONS crystal
Sr 0.000 0.000 0.000
Au 0.750 0.750 0.750
Hg 0.250 0.250 0.250
Ga 0.500 0.500 0.500